No. 1
The following is a DFT calculation (GGA-PBE) of an optimized crystal structure of Mn5Te.

The uncorrected formation energy comes out at 0.51 eV/atom.

It has space group P6/mmm (No. 191), with a = 4.6752 Å, b = 4.6752 Å, c = 4.2673 Å, α = 90.00°, β = 90.00° and γ = 120.00°. The inequivalent atoms are Mn at (0.0000, 0.5000, 0.0000), Mn at (0.3333, 0.6667, 0.5000) and Te at (0.0000, 0.0000, 0.5000).


No. 2
The following is a DFT calculation (GGA-PBE) of an optimized crystal structure of MnTe2.

The uncorrected formation energy comes out at -0.21 eV/atom.

It has space group Cmce (No. 64), with a = 3.8387 Å, b = 6.6301 Å, c = 12.9198 Å, α = 90.00°, β = 90.00° and γ = 90.00°. The inequivalent atoms are Mn at (0.0000, 0.0000, 0.0000) and Te at (0.0000, 0.1669, 0.3807).


No. 3
The following is a DFT calculation (GGA-PBE) of an optimized crystal structure of MnTe.

The uncorrected formation energy comes out at 0.11 eV/atom.

It has space group P-6m2 (No. 187), with a = 3.7632 Å, b = 3.7632 Å, c = 3.5823 Å, α = 90.00°, β = 90.00° and γ = 120.00°. The inequivalent atoms are Mn at (0.0000, 0.0000, 0.0000) and Te at (0.6667, 0.3333, 0.5000).


No. 4
The following is a DFT calculation (GGA-PBE) of an optimized crystal structure of Mn5Te3.

The uncorrected formation energy comes out at 0.28 eV/atom.

It has space group P6_3/mcm (No. 193), with a = 8.4539 Å, b = 8.4539 Å, c = 5.0845 Å, α = 90.00°, β = 90.00° and γ = 120.00°. The inequivalent atoms are Mn at (0.0000, 0.1840, 0.2500), Mn at (0.3333, 0.6667, 0.0000) and Te at (0.0000, 0.3689, 0.7500).


No. 5
The following is a DFT calculation (GGA-PBE) of an optimized crystal structure of MnTe4.

The uncorrected formation energy comes out at 0.29 eV/atom.

It has space group Pm-3m (No. 221), with a = 5.1860 Å, b = 5.1860 Å, c = 5.1860 Å, α = 90.00°, β = 90.00° and γ = 90.00°. The inequivalent atoms are Mn at (0.0000, 0.0000, 0.0000), Te at (0.0000, 0.0000, 0.5000) and Te at (0.5000, 0.5000, 0.5000).


No. 6
The following is a DFT calculation (GGA-PBE) of an optimized crystal structure of MnTe4.

The uncorrected formation energy comes out at 0.09 eV/atom.

It has space group I4/m (No. 87), with a = 9.2429 Å, b = 9.2429 Å, c = 3.5769 Å, α = 90.00°, β = 90.00° and γ = 90.00°. The inequivalent atoms are Mn at (0.0000, 0.0000, 0.0000) and Te at (0.0942, 0.2161, 0.5000).


No. 7
The following is a DFT calculation (GGA-PBE) of an optimized crystal structure of MnTe2.

The uncorrected formation energy comes out at -0.12 eV/atom.

It has space group Pa-3 (No. 205), with a = 6.6970 Å, b = 6.6970 Å, c = 6.6970 Å, α = 90.00°, β = 90.00° and γ = 90.00°. The inequivalent atoms are Mn at (0.0000, 0.0000, 0.0000) and Te at (0.1347, 0.6347, 0.8653).


No. 8
The following is a DFT calculation (GGA-PBE) of an optimized crystal structure of Mn2Te3.

The uncorrected formation energy comes out at -0.15 eV/atom.

It has space group R-3m (No. 166, hexagonal axes), with a = 3.9741 Å, b = 3.9741 Å, c = 28.6065 Å, α = 90.00°, β = 90.00° and γ = 120.00°. The inequivalent atoms are Mn at (0.0000, 0.0000, 0.1054), Te at (0.0000, 0.0000, 0.2786) and Te at (0.0000, 0.0000, 0.5000).


No. 9
The following is a DFT calculation (GGA-PBE) of an optimized crystal structure of MnTe2.

The uncorrected formation energy comes out at 0.12 eV/atom.

It has space group I4_1/amd (No. 141, origin choice 2), with a = 3.4404 Å, b = 3.4404 Å, c = 27.1322 Å, α = 90.00°, β = 90.00° and γ = 90.00°. The inequivalent atoms are Mn at (0.0000, 0.2500, 0.3750) and Te at (0.0000, 0.2500, 0.8142).


No. 10
The following is a DFT calculation (GGA-PBE) of an optimized crystal structure of MnTe.

The uncorrected formation energy comes out at 0.65 eV/atom.

It has space group P6_3/mmc (No. 194), with a = 5.3250 Å, b = 5.3250 Å, c = 8.0137 Å, α = 90.00°, β = 90.00° and γ = 120.00°. The inequivalent atoms are Mn at (0.3333, 0.6667, 0.0918), Te at (0.0000, 0.0000, 0.2500) and Te at (0.3333, 0.6667, 0.7500).


No. 11
The following is a DFT calculation (GGA-PBE) of an optimized crystal structure of Mn3Te.

The uncorrected formation energy comes out at 0.28 eV/atom.

It has space group P6_3/mmc (No. 194), with a = 5.4370 Å, b = 5.4370 Å, c = 4.3470 Å, α = 90.00°, β = 90.00° and γ = 120.00°. The inequivalent atoms are Mn at (0.1519, 0.3038, 0.2500) and Te at (0.3333, 0.6667, 0.7500).


No. 12
The following is a DFT calculation (GGA-PBE) of an optimized crystal structure of MnTe2.

The uncorrected formation energy comes out at 0.25 eV/atom.

It has space group Fm-3m (No. 225), with a = 6.4175 Å, b = 6.4175 Å, c = 6.4175 Å, α = 90.00°, β = 90.00° and γ = 90.00°. The inequivalent atoms are Mn at (0.0000, 0.0000, 0.0000) and Te at (0.2500, 0.2500, 0.2500).


No. 13
The following is a DFT calculation (GGA-PBE) of an optimized crystal structure of Mn3Te.

The uncorrected formation energy comes out at 0.27 eV/atom.

It has space group Fm-3m (No. 225), with a = 5.9687 Å, b = 5.9687 Å, c = 5.9687 Å, α = 90.00°, β = 90.00° and γ = 90.00°. The inequivalent atoms are Mn at (0.0000, 0.0000, 0.0000), Mn at (0.2500, 0.2500, 0.2500) and Te at (0.0000, 0.0000, 0.5000).


No. 14
The following is a DFT calculation (GGA-PBE) of an optimized crystal structure of MnTe2.

The uncorrected formation energy comes out at -0.14 eV/atom.

It has space group P6_3/mmc (No. 194), with a = 3.7941 Å, b = 3.7941 Å, c = 12.7773 Å, α = 90.00°, β = 90.00° and γ = 120.00°. The inequivalent atoms are Mn at (0.0000, 0.0000, 0.2500) and Te at (0.3333, 0.6667, 0.1220).


No. 15
The following is a DFT calculation (GGA-PBE) of an optimized crystal structure of Mn3Te.

The uncorrected formation energy comes out at 0.28 eV/atom.

It has space group I4/mmm (No. 139), with a = 3.7939 Å, b = 3.7939 Å, c = 15.6114 Å, α = 90.00°, β = 90.00° and γ = 90.00°. The inequivalent atoms are Mn at (0.0000, 0.0000, 0.1159), Mn at (0.0000, 0.5000, 0.0000), Mn at (0.0000, 0.5000, 0.2500) and Te at (0.0000, 0.0000, 0.3717).


No. 16
The following is a DFT calculation (GGA-PBE) of an optimized crystal structure of MnTe.

The uncorrected formation energy comes out at 0.05 eV/atom.

It has space group Fddd (No. 70, origin choice 2), with a = 9.4320 Å, b = 11.3145 Å, c = 11.9105 Å, α = 90.00°, β = 90.00° and γ = 90.00°. The inequivalent atoms are Mn at (0.1250, 0.1250, 0.2671) and Te at (0.1250, 0.3201, 0.1250).


No. 17
The following is a DFT calculation (GGA-PBE) of an optimized crystal structure of Mn3Te.

The uncorrected formation energy comes out at 0.34 eV/atom.

It has space group I4/mmm (No. 139), with a = 3.8009 Å, b = 3.8009 Å, c = 7.5805 Å, α = 90.00°, β = 90.00° and γ = 90.00°. The inequivalent atoms are Mn at (0.0000, 0.0000, 0.0000), Mn at (0.0000, 0.5000, 0.2500) and Te at (0.0000, 0.0000, 0.5000).


No. 18
The following is a DFT calculation (GGA-PBE) of an optimized crystal structure of Mn2Te.

The uncorrected formation energy comes out at 0.34 eV/atom.

It has space group I4/mcm (No. 140), with a = 5.4715 Å, b = 5.4715 Å, c = 7.8738 Å, α = 90.00°, β = 90.00° and γ = 90.00°. The inequivalent atoms are Mn at (0.1774, 0.3226, 0.0000) and Te at (0.0000, 0.0000, 0.2500).


No. 19
The following is a DFT calculation (GGA-PBE) of an optimized crystal structure of Mn3Te.

The uncorrected formation energy comes out at 0.34 eV/atom.

It has space group P-6m2 (No. 187), with a = 3.9487 Å, b = 3.9487 Å, c = 5.4422 Å, α = 90.00°, β = 90.00° and γ = 120.00°. The inequivalent atoms are Mn at (0.0000, 0.0000, 0.0000), Mn at (0.3333, 0.6667, 0.2308) and Te at (0.0000, 0.0000, 0.5000).


No. 20
The following is a DFT calculation (GGA-PBE) of an optimized crystal structure of Mn5Te.

The uncorrected formation energy comes out at 0.18 eV/atom.

It has space group C2/m (No. 12), with a = 8.4703 Å, b = 3.6456 Å, c = 5.3943 Å, α = 90.00°, β = 109.63° and γ = 90.00°. The inequivalent atoms are Mn at (0.0000, 0.0000, 0.0000), Mn at (0.1667, 0.5000, 0.3134), Mn at (0.1769, 0.5000, 0.8560) and Te at (0.0000, 0.0000, 0.5000).


No. 21
The following is a DFT calculation (GGA-PBE) of an optimized crystal structure of Mn3Te.

The uncorrected formation energy comes out at 1.47 eV/atom.

It has space group Pm-3m (No. 221), with a = 5.0365 Å, b = 5.0365 Å, c = 5.0365 Å, α = 90.00°, β = 90.00° and γ = 90.00°. The inequivalent atoms are Mn at (0.0000, 0.0000, 0.5000) and Te at (0.0000, 0.0000, 0.0000).


No. 22
The following is a DFT calculation (GGA-PBE) of an optimized crystal structure of MnTe2.

The uncorrected formation energy comes out at -0.11 eV/atom.

It has space group Cm (No. 8), with a = 12.5625 Å, b = 3.7415 Å, c = 7.1133 Å, α = 90.00°, β = 94.27° and γ = 90.00°. The inequivalent atoms are Mn at (0.0000, 0.0000, 0.0000), Mn at (0.2378, 0.0000, 0.9354), Te at (0.0818, 0.5000, 0.7797), Te at (0.1540, 0.0000, 0.2633), Te at (0.3401, 0.5000, 0.7349) and Te at (0.4108, 0.0000, 0.1991).


No. 23
The following is a DFT calculation (GGA-PBE) of an optimized crystal structure of Mn3Te.

The uncorrected formation energy comes out at 0.54 eV/atom.

It has space group R-3m (No. 166, hexagonal axes), with a = 8.6484 Å, b = 8.6484 Å, c = 3.0179 Å, α = 90.00°, β = 90.00° and γ = 120.00°. The inequivalent atoms are Mn at (0.0000, 0.5000, 0.0000) and Te at (0.0000, 0.0000, 0.0000).


No. 24
The following is a DFT calculation (GGA-PBE) of an optimized crystal structure of MnTe.

The uncorrected formation energy comes out at 0.01 eV/atom.

It has space group Cm (No. 8), with a = 13.6373 Å, b = 3.9705 Å, c = 6.6204 Å, α = 90.00°, β = 118.79° and γ = 90.00°. The inequivalent atoms are Mn at (0.0000, 0.0000, 0.0000), Mn at (0.0008, 0.5000, 0.3305), Mn at (0.1614, 0.5000, 0.1822), Te at (0.1674, 0.0000, 0.4602), Te at (0.3435, 0.5000, 0.1247) and Te at (0.4961, 0.0000, 0.7382).


No. 25
The following is a DFT calculation (GGA-PBE) of an optimized crystal structure of MnTe.

The uncorrected formation energy comes out at -0.05 eV/atom.

It has space group F-43m (No. 216), with a = 6.3725 Å, b = 6.3725 Å, c = 6.3725 Å, α = 90.00°, β = 90.00° and γ = 90.00°. The inequivalent atoms are Mn at (0.0000, 0.0000, 0.0000) and Te at (0.2500, 0.2500, 0.7500).


No. 26
The following is a DFT calculation (GGA-PBE) of an optimized crystal structure of MnTe2.

The uncorrected formation energy comes out at 0.19 eV/atom.

It has space group P4/mmm (No. 123), with a = 4.6651 Å, b = 4.6651 Å, c = 3.8117 Å, α = 90.00°, β = 90.00° and γ = 90.00°. The inequivalent atoms are Mn at (0.0000, 0.0000, 0.0000) and Te at (0.0000, 0.5000, 0.5000).